# 1
16
Lattice="-0.506 3.297 2.501 -3.227 -3.087 3.416 8.692 -2.905 5.586" Properties=species:S:1:pos:R:3 comment="PBE Sn2GeRh5, relaxed" density_g_cm3=10.885 formation_energy_mev_per_atom=-444 pbc="T T T"
Sn 1.652 -0.491 4.456
Sn 3.307 -2.204 7.048
Sn 6.713 -1.260 6.492
Sn -1.754 -1.436 5.012
Ge 4.346 -1.452 2.793
Ge -1.614 -1.544 1.708
Rh -0.451 0.343 2.930
Rh 5.410 -3.039 8.573
Rh 0.553 -2.075 6.321
Rh 4.406 -0.620 5.182
Rh 3.445 -4.883 7.132
Rh 2.019 -1.109 1.870
Rh 5.424 -3.461 5.659
Rh 0.041 -2.530 3.343
Rh 2.732 -2.996 4.501
Rh 0.000 0.000 0.000

=====

# 2
8
Lattice="3.353 0.008 0.002 0.018 5.720 0.739 -1.678 -1.717 7.015" Properties=species:S:1:pos:R:3 comment="PBE SnGeRh2, relaxed" density_g_cm3=9.504 formation_energy_mev_per_atom=-379 pbc="T T T"
Sn 2.401 4.406 0.615
Sn 2.405 3.718 3.844
Ge -0.969 -0.531 6.888
Ge 0.726 1.212 3.845
Rh 0.710 -0.279 1.901
Rh -0.954 1.642 5.670
Rh 0.711 -0.963 5.064
Rh 0.726 2.676 1.817

=====

# 3
4
Lattice="-1.685 2.035 3.177 -4.032 -0.405 0.808 -0.997 -3.008 4.085" Properties=species:S:1:pos:R:3 comment="PBE SnGeRh2, relaxed" density_g_cm3=9.725 formation_energy_mev_per_atom=-322 pbc="T T T"
Ge -3.357 -0.689 4.035
Rh -5.091 -0.816 5.883
Rh -1.623 -0.562 2.187
Sn 0.000 0.000 0.000

=====

# 4
6
Lattice="-1.044 3.973 -0.545 -2.863 -0.344 2.978 4.100 1.649 4.140" Properties=species:S:1:pos:R:3 comment="PBE SnGeRh4, relaxed" relative_energy_ev_per_fu=0.57 density_g_cm3=9.624 formation_energy_mev_per_atom=-237 pbc="T T T"
Sn 2.146 3.467 5.340
Ge -0.815 0.483 5.032
Rh -2.282 2.090 3.803
Rh -0.391 2.850 5.715
Rh 1.563 1.036 4.497
Rh -0.329 0.275 2.588

=====

# 5
4
Lattice="3.069 0.000 0.000 0.000 3.069 0.000 0.000 0.000 6.829" Properties=species:S:1:pos:R:3 comment="PBE SnGeRh2, relaxed" density_g_cm3=10.252 formation_energy_mev_per_atom=-337 pbc="T T T"
Ge 1.535 1.535 0.000
Rh 0.000 0.000 5.347
Rh 0.000 0.000 1.482
Sn 1.535 1.535 3.414

=====

# 6
7
Lattice="-0.680 -4.106 -1.711 4.370 -0.294 -1.031 3.086 -4.919 4.659" Properties=species:S:1:pos:R:3 comment="PBE Sn2GeRh4, relaxed" density_g_cm3=8.794 formation_energy_mev_per_atom=130 pbc="T T T"
Ge 0.000 0.000 0.000
Rh 2.644 -3.951 2.514
Rh 4.132 -5.367 -0.598
Rh 2.185 -0.147 -0.516
Rh -0.340 -2.053 -0.856
Sn 2.172 -2.915 0.215
Sn 4.605 -6.403 1.701